(1)
VASP calculation (PBE) on a geometry-optimized BaLiCa2Ni structure.

Cell and atoms, written as extended XYZ:
```
5
Lattice="5.490 0.000 0.000 0.000 5.490 0.000 0.000 0.000 5.542" Properties=species:S:1:pos:R:3 pbc="T T T"
Ba 2.745 2.745 2.771
Ni 0.000 0.000 0.000
Ca 0.000 2.745 0.000
Ca 2.745 0.000 0.000
Li 0.000 0.000 2.771
```

Properties
DFT formation energy	0.079	eV/atom
DFT total energy	-2.645	eV/atom
polymorph energy (0 for the lowest one)	58.5	meV/atom
volume	167.0	Å³ per cell

(2)
VASP calculation (PBE) on a geometry-optimized Mn2MoSe structure.

Cell and atoms, written as extended XYZ:
```
4
Lattice="3.011 0.000 0.000 0.000 3.011 0.000 0.000 0.000 5.917" Properties=species:S:1:pos:R:3 pbc="T T T"
Mo 1.506 1.506 1.479
Se 1.506 1.506 4.438
Mn 0.000 0.000 0.016
Mn 0.000 0.000 2.943
```

Properties
DFT total energy	-7.943	eV/atom
formation energy without anion corrections	0.221	eV per atom
volume	53.6	Å³ per cell

(3)
VASP calculation (PBE) on a geometry-optimized SrAsRu2 structure.

Cell and atoms, written as extended XYZ:
```
4
Lattice="-4.111 -3.698 -0.220 1.315 -4.821 2.376 -0.842 5.430 0.646" Properties=species:S:1:pos:R:3 pbc="T T T"
Sr -3.175 -1.263 0.752
As -0.462 -1.825 2.050
Ru -1.272 -3.877 0.981
Ru -0.125 -0.382 0.097
```

Properties
DFT formation energy	0.308	eV/atom
DFT total energy	-5.913	eV/atom
volume	75.7	Å³ per cell

(4)
VASP calculation (PBE) on a geometry-optimized Ba6IrI structure.

Cell and atoms, written as extended XYZ:
```
16
Lattice="-2.555 6.593 4.128 -2.768 -1.414 -7.575 -11.819 -8.248 5.859" Properties=species:S:1:pos:R:3 pbc="T T T"
Ir 0.000 0.000 0.000
Ir -5.909 -4.124 2.929
Ba -8.186 -5.389 1.282
Ba -10.954 -1.554 1.098
Ba -6.188 -1.515 1.313
Ba -12.102 -5.792 4.019
Ba -6.406 1.426 5.015
Ba -10.736 -4.495 -2.603
Ba -4.681 5.103 2.468
Ba -12.461 -8.173 -0.056
Ba -8.956 2.320 1.130
Ba -14.929 -4.185 0.580
Ba -2.213 1.115 1.831
Ba -5.040 2.723 -1.607
I -5.652 -0.807 -2.209
I -11.490 -2.262 4.621
```

Properties
DFT total energy	-3.140	eV/atom
formation energy without anion corrections	-0.397	eV per atom
volume	903.3	Å³ per cell

(5)
VASP calculation (PBE) on a geometry-optimized BaTiInSn2 structure.

Cell and atoms, written as extended XYZ:
```
5
Lattice="5.354 0.000 0.000 0.000 5.354 0.000 0.000 0.000 5.406" Properties=species:S:1:pos:R:3 pbc="T T T"
Sn 0.000 2.677 0.000
Sn 2.677 0.000 0.000
Ba 2.677 2.677 2.703
Ti 0.000 0.000 0.000
In 0.000 0.000 2.703
```

Properties
DFT formation energy	-0.324	eV/atom
DFT total energy	-4.436	eV/atom
volume	155.0	Å³ per cell

(6)
VASP calculation (PBE) on a geometry-optimized LiY2In2 structure.

Cell and atoms, written as extended XYZ:
```
10
Lattice="-0.237 8.570 -3.384 -8.359 1.224 3.685 1.435 1.171 2.866" Properties=species:S:1:pos:R:3 pbc="T T T"
In -0.803 3.602 0.962
In -4.946 2.889 3.328
In -6.358 7.363 2.206
In -2.215 8.076 -0.160
Y -5.457 8.240 -0.635
Y -7.376 4.254 1.955
Y -1.220 5.540 -1.653
Y -3.139 1.553 0.937
Li 0.000 0.000 0.000
Li -4.298 4.897 0.151
```

Properties
DFT formation energy	-0.187	eV/atom
DFT total energy	-4.251	eV/atom
polymorph energy (0 for the lowest one)	189.7	meV/atom
volume	289.9	Å³ per cell

DFT total energy of number 2 (Mn2MoSe)? -7.943 eV/atom

Among the records above, which one has the lowest DFT total energy? Mn2MoSe

Which of these has the highest DFT total energy? BaLiCa2Ni